No. 1
Density functional theory data (PBE) for an optimized crystal structure of HgOsCl2.

Structure (extended XYZ):
```
4
Lattice="3.118 0.000 0.000 0.000 3.118 0.000 0.000 0.000 8.231" Properties=species:S:1:pos:R:3 pbc="T T T"
Cl 1.559 1.559 2.421
Cl 0.000 0.000 7.626
Hg 0.000 0.000 4.266
Os 1.559 1.559 6.265
```

Properties
ΔE to the lowest computed polymorph: 573 meV per atom
Fermi-level density of states: 0.8324 states/eV per atom

***

No. 2
Density functional theory data (PBE) for an optimized crystal structure of HgOsCl3.

Structure (extended XYZ):
```
5
Lattice="-4.697 -0.260 2.390 -1.030 -4.522 -2.516 2.173 -2.706 3.975" Properties=species:S:1:pos:R:3 pbc="T T T"
Os -1.777 -3.744 1.925
Cl 1.086 -1.353 1.987
Cl -2.348 -0.130 1.195
Cl -0.515 -2.261 -1.258
Hg 0.000 0.000 0.000
```

Properties
ΔE to the lowest computed polymorph: 886 meV per atom
Fermi-level density of states: 4.1425 states/eV per atom

***

No. 3
Density functional theory data (PBE) for an optimized crystal structure of HgOsCl2.

Structure (extended XYZ):
```
4
Lattice="3.061 0.000 0.000 0.000 4.735 0.087 0.000 2.201 6.822" Properties=species:S:1:pos:R:3 pbc="T T T"
Cl 1.531 1.417 2.170
Cl 0.000 6.072 6.362
Hg 0.000 3.744 4.192
Os 1.531 6.106 4.549
```

Properties
ΔE to the lowest computed polymorph: 44 meV per atom
Fermi-level density of states: 0.7175 states/eV per atom

***

No. 4
Density functional theory data (PBE) for an optimized crystal structure of HgOsCl2.

Structure (extended XYZ):
```
4
Lattice="5.220 0.002 0.000 -1.722 4.927 0.000 0.000 0.000 3.143" Properties=species:S:1:pos:R:3 pbc="T T T"
Hg 2.610 0.001 1.571
Cl 0.000 0.000 0.000
Cl 1.749 2.464 0.000
Os -0.861 2.464 1.571
```

Properties
ΔE to the lowest computed polymorph: 1033 meV per atom
Fermi-level density of states: 0.9026 states/eV per atom